No. 1
A relaxed structure of Li5Mg. Source: the Alexandria database, functional PBE-GGA.

## Properties
DFT formation energy ... -0.1 eV per formula unit
DOS at the Fermi energy ... 2.64 states/eV/f.u.
Energy above the lowest structure with this stoichiometry ... 1 meV per atom

a = 5.8687 Å, b = 5.8687 Å, c = 5.8687 Å
α = 53.48°, β = 53.48°, γ = 53.48°
Positions (direct):
Li (0.0000, 0.6674, 0.3326)
Li (0.1668, 0.1668, 0.1668)
Li (0.3326, 0.0000, 0.6674)
Li (0.6674, 0.3326, 0.0000)
Li (0.8332, 0.8332, 0.8332)
Mg (0.5000, 0.5000, 0.5000)

---

No. 2
A relaxed structure of Y3Tc. Source: the Alexandria database, functional PBE-GGA.

## Properties
DFT formation energy ... 0.9 eV per formula unit
DOS at the Fermi energy ... 4.54 states/eV/f.u.

a = 5.1951 Å, b = 5.1951 Å, c = 5.1951 Å
α = 60.00°, β = 60.00°, γ = 60.00°
Positions (direct):
Y (0.0000, 0.0000, 0.0000)
Y (0.2500, 0.2500, 0.2500)
Y (0.7500, 0.7500, 0.7500)
Tc (0.5000, 0.5000, 0.5000)

---

No. 3
A relaxed structure of YGeHPd2. Source: the Alexandria database, functional PBE-GGA.

## Properties
DOS at the Fermi energy ... 1.12 states/eV/f.u.
Final energy ... -57.23 eV for the cell shown

a = 5.7447 Å, b = 5.7447 Å, c = 7.3765 Å
α = 90.00°, β = 90.00°, γ = 140.08°
Positions (direct):
Y (0.0532, 0.9468, 0.7500)
Y (0.9468, 0.0532, 0.2500)
Ge (0.2301, 0.7699, 0.2500)
Ge (0.7699, 0.2301, 0.7500)
H (0.5000, 0.5000, 0.0000)
H (0.5000, 0.5000, 0.5000)
Pd (0.3432, 0.6568, 0.5548)
Pd (0.3432, 0.6568, 0.9452)
Pd (0.6568, 0.3432, 0.0548)
Pd (0.6568, 0.3432, 0.4452)

---

No. 4
A relaxed structure of KTl2Rh. Source: the Alexandria database, functional PBE-GGA.

## Properties
DFT formation energy ... 0.9 eV per formula unit
DOS at the Fermi energy ... 2.21 states/eV/f.u.

a = 8.3295 Å, b = 8.3295 Å, c = 8.3295 Å
α = 60.00°, β = 60.00°, γ = 60.00°
Positions (direct):
K (0.1250, 0.1250, 0.1250)
K (0.8750, 0.8750, 0.8750)
Tl (0.0000, 0.5000, 0.5000)
Tl (0.5000, 0.0000, 0.5000)
Tl (0.5000, 0.5000, 0.0000)
Tl (0.5000, 0.5000, 0.5000)
Rh (0.3750, 0.3750, 0.3750)
Rh (0.6250, 0.6250, 0.6250)

---

No. 5
A relaxed structure of BaNa2Re. Source: the Alexandria database, functional PBE-GGA.

## Properties
DFT formation energy ... 4.8 eV per formula unit
DOS at the Fermi energy ... 6.05 states/eV/f.u.
Energy above the lowest structure with this stoichiometry ... 9 meV per atom

a = 5.4897 Å, b = 5.4897 Å, c = 5.4897 Å
α = 60.00°, β = 60.00°, γ = 60.00°
Positions (direct):
Ba (0.0000, 0.0000, 0.0000)
Na (0.2500, 0.2500, 0.2500)
Na (0.7500, 0.7500, 0.7500)
Re (0.5000, 0.5000, 0.5000)

---

No. 6
A relaxed structure of InCo2Rh. Source: the Alexandria database, functional PBE-GGA.

## Properties
DFT formation energy ... 0.5 eV per formula unit
DOS at the Fermi energy ... 5.46 states/eV/f.u.

a = 4.7177 Å, b = 4.7177 Å, c = 4.5856 Å
α = 102.21°, β = 102.21°, γ = 35.56°
Positions (direct):
In (0.0000, 0.0000, 0.0000)
Co (0.2425, 0.2425, 0.7176)
Co (0.7575, 0.7575, 0.2824)
Rh (0.5000, 0.5000, 0.5000)

---

No. 7
A relaxed structure of BaTcSbC2. Source: the Alexandria database, functional PBE-GGA.

## Properties
DOS at the Fermi energy ... 7.82 states/eV/f.u.
Final energy ... -18.04 eV for the cell shown

a = 4.4723 Å, b = 4.4723 Å, c = 6.5598 Å
α = 90.00°, β = 90.00°, γ = 90.00°
Positions (direct):
Ba (0.0000, 0.0000, 0.0000)
Tc (0.5000, 0.5000, 0.5000)
Sb (0.0000, 0.0000, 0.5000)
C (0.0000, 0.5000, 0.0000)
C (0.5000, 0.0000, 0.0000)

---

No. 8
A relaxed structure of ErGa2Tc2B. Source: the Alexandria database, functional PBE-GGA.

## Properties
DFT formation energy ... -2.7 eV per formula unit
DOS at the Fermi energy ... 3.37 states/eV/f.u.

a = 4.2241 Å, b = 4.2241 Å, c = 5.4335 Å
α = 90.00°, β = 90.00°, γ = 90.00°
Positions (direct):
Er (0.0000, 0.0000, 0.0000)
Ga (0.5000, 0.5000, 0.2256)
Ga (0.5000, 0.5000, 0.7744)
Tc (0.0000, 0.5000, 0.5000)
Tc (0.5000, 0.0000, 0.5000)
B (0.0000, 0.0000, 0.5000)

---

No. 9
A relaxed structure of Sc2AsPb. Source: the Alexandria database, functional PBE-GGA.

## Properties
DFT formation energy ... -0.1 eV per formula unit
DOS at the Fermi energy ... 5.63 states/eV/f.u.
Energy above the lowest structure with this stoichiometry ... 863 meV per atom

a = 5.0810 Å, b = 5.0810 Å, c = 5.0810 Å
α = 60.00°, β = 60.00°, γ = 60.00°
Positions (direct):
Sc (0.0000, 0.0000, 0.0000)
Sc (0.2500, 0.2500, 0.2500)
As (0.7500, 0.7500, 0.7500)
Pb (0.5000, 0.5000, 0.5000)

---

No. 10
A relaxed structure of Nd2Bi7O14. Source: the Alexandria database, functional PBE-GGA.

## Properties
DOS at the Fermi energy ... 2.81 states/eV/f.u.
Final energy ... -143.64 eV for the cell shown

a = 10.7366 Å, b = 10.7366 Å, c = 10.4575 Å
α = 113.21°, β = 113.21°, γ = 21.10°
Positions (direct):
Nd (0.0000, 0.0000, 0.0000)
Nd (0.6687, 0.6687, 0.0154)
Bi (0.1619, 0.1619, 0.7000)
Bi (0.1771, 0.1771, 0.3365)
Bi (0.3427, 0.3427, 0.0384)
Bi (0.4963, 0.4963, 0.6958)
Bi (0.5162, 0.5162, 0.3587)
Bi (0.8280, 0.8280, 0.6857)
Bi (0.8440, 0.8440, 0.3379)
O (0.0351, 0.0351, 0.4757)
O (0.1285, 0.1285, 0.1162)
O (0.2051, 0.2051, 0.9267)
O (0.3261, 0.3261, 0.5938)
O (0.3797, 0.3797, 0.2824)
O (0.4662, 0.4662, 0.1200)
O (0.5389, 0.5389, 0.9220)
O (0.6084, 0.6084, 0.7498)
O (0.6139, 0.6139, 0.3372)
O (0.7285, 0.7285, 0.6955)
O (0.7335, 0.7335, 0.2824)
O (0.8056, 0.8056, 0.1116)
O (0.8754, 0.8754, 0.9077)
O (0.9580, 0.9580, 0.7471)

---

No. 11
A relaxed structure of SnSeSN2. Source: the Alexandria database, functional PBE-GGA.

## Properties
DOS at the Fermi energy ... 2.72 states/eV/f.u.
Energy above the lowest structure with this stoichiometry ... 0 meV per atom

a = 3.9324 Å, b = 3.9324 Å, c = 5.0688 Å
α = 90.00°, β = 90.00°, γ = 90.00°
Positions (direct):
Sn (0.0000, 0.0000, 0.0000)
Se (0.5000, 0.5000, 0.5000)
S (0.5000, 0.5000, 0.0000)
N (0.0000, 0.5000, 0.5000)
N (0.5000, 0.0000, 0.5000)

---

No. 12
A relaxed structure of FeSiNi2. Source: the Alexandria database, functional PBE-GGA.

## Properties
DOS at the Fermi energy ... 4.51 states/eV/f.u.
Final energy ... -26.26 eV for the cell shown

a = 4.0018 Å, b = 4.0018 Å, c = 2.8352 Å
α = 90.00°, β = 90.00°, γ = 90.00°
Positions (direct):
Fe (0.0000, 0.0000, 0.0000)
Si (0.5000, 0.5000, 0.0000)
Ni (0.0000, 0.5000, 0.5000)
Ni (0.5000, 0.0000, 0.5000)

---

The lowest DOS at the Fermi energy belongs to which entry?
YGeHPd2